Record 1
MgNiRu2 after structural relaxation. Source: Alexandria via LeMat-Bulk, functional PBE.

Energy of formation (eV/atom): 0.099

Cell and atoms, written as CIF:
```
data_MgNiRu2
_chemical_formula_sum 'Mg2 Ni2 Ru4'
_space_group_name_H-M_alt 'C 1 2/m 1'
_space_group_IT_number 12
_cell_length_a 10.4089
_cell_length_b 2.7650
_cell_length_c 4.3423
_cell_angle_alpha 90.00
_cell_angle_beta 113.98
_cell_angle_gamma 90.00
loop_
_space_group_symop_operation_xyz
'x,y,z'
'-x,-y,-z'
'-x,y,-z'
'x,-y,z'
'x+1/2,y+1/2,z'
'-x+1/2,-y+1/2,-z'
'-x+1/2,y+1/2,-z'
'x+1/2,-y+1/2,z'
loop_
_atom_site_label
_atom_site_type_symbol
_atom_site_fract_x
_atom_site_fract_y
_atom_site_fract_z
_atom_site_occupancy
Mg1 Mg 0.0000 0.0000 0.0000 1
Ni1 Ni 0.0000 0.5000 0.5000 1
Ru1 Ru 0.2176 0.0000 0.7181 1
```

Record 2
EuHo3O after structural relaxation. Source: Alexandria via LeMat-Bulk, functional PBE.

ΔE_f (raw) (eV per formula unit): -4.94

Cell and atoms, written as CIF:
```
data_EuHo3O
_chemical_formula_sum 'Eu1 Ho3 O1'
_space_group_name_H-M_alt 'P m -3 m'
_space_group_IT_number 221
_space_group_name_Hall '-P 4 2 3'
_cell_length_a 4.9663
_cell_length_b 4.9663
_cell_length_c 4.9663
_cell_angle_alpha 90.00
_cell_angle_beta 90.00
_cell_angle_gamma 90.00
loop_
_atom_site_label
_atom_site_type_symbol
_atom_site_fract_x
_atom_site_fract_y
_atom_site_fract_z
_atom_site_occupancy
Eu1 Eu 0.0000 0.0000 0.0000 1
Ho1 Ho 0.0000 0.5000 0.5000 1
O1 O 0.5000 0.5000 0.5000 1
```

Listing density of states at the Fermi level for the structures above in their given order: 9.07 5.11 states/eV/cell.